Material: Nb3V8Pt
Method: DFT, PBE-GGA
State: optimized geometry

Unit cell a=5.0445 b=5.0445 c=24.4113 alpha=90.00 beta=90.00 gamma=120.00
Space group R3m (No. 160, hexagonal axes)
Asymmetric unit:
Nb1 0.0000 0.0000 0.0000 [3 per cell]
Nb2 0.0000 0.0000 0.1242 [3 per cell]
Nb3 0.0000 0.0000 0.4986 [3 per cell]
V1 0.0000 0.0000 0.3120 [3 per cell]
V2 0.0000 0.0000 0.8124 [3 per cell]
V3 0.0002 0.5001 0.5630 [9 per cell]
V4 0.0020 0.5010 0.0607 [9 per cell]
Pt1 0.0000 0.0000 0.6229 [3 per cell]

Results
Energy of formation from the pure elements   -0.12 eV/atom
Size of the total moment   0.0000 μB/atom

=====

Material: TeAsIrAu
Method: DFT, PBE-GGA
State: optimized geometry

Unit cell a=7.0727 b=3.8680 c=6.9346 alpha=90.00 beta=112.64 gamma=90.00
Space group Cm (No. 8)
Asymmetric unit:
Te1 0.0000 0.0000 0.0000 [2 per cell]
As1 0.2832 0.5000 0.3960 [2 per cell]
Ir1 0.4058 0.0000 0.2494 [2 per cell]
Au1 0.4609 0.0000 0.6797 [2 per cell]

Results
Energy above the lowest structure with this stoichiometry   0.071 eV per atom
Formation energy from raw total energies   -0.08 kcal/mol of atoms
Size of the total moment   0.0000 μB/atom

=====

Material: Tm12Hg3O5
Method: DFT, PBE-GGA
State: optimized geometry

Unit cell a=15.2711 b=15.2711 c=15.2711 alpha=90.00 beta=90.00 gamma=90.00
Space group Ia-3d (No. 230)
Asymmetric unit:
Tm1 0.0409 0.0502 0.6479 [96 per cell]
Hg1 0.0000 0.2500 0.1250 [24 per cell]
O1 0.0000 0.0000 0.0000 [16 per cell]
O2 0.0000 0.2500 0.3750 [24 per cell]

Results
Formation energy from raw total energies   -35.76 kcal/mol of atoms
Size of the total moment   0.0001 μB/atom

=====

Material: Sm3ScZn4
Method: DFT, PBE-GGA
State: optimized geometry

Unit cell a=3.5519 b=3.5519 c=14.4246 alpha=90.00 beta=90.00 gamma=90.00
Space group P4/mmm (No. 123)
Asymmetric unit:
Sm1 0.0000 0.0000 0.0000 [1 per cell]
Sm2 0.0000 0.0000 0.2602 [2 per cell]
Sc1 0.0000 0.0000 0.5000 [1 per cell]
Zn1 0.5000 0.5000 0.1284 [2 per cell]
Zn2 0.5000 0.5000 0.3969 [2 per cell]

Results
Energy of formation from the pure elements   -0.32 eV/atom
Size of the total moment   0.0004 μB/atom

=====

Material: AcPaPb2
Method: DFT, PBE-GGA
State: optimized geometry

Unit cell a=5.2358 b=5.2358 c=4.5553 alpha=90.00 beta=90.00 gamma=90.00
Space group P4/mmm (No. 123)
Asymmetric unit:
Ac1 0.0000 0.0000 0.0000 [1 per cell]
Pa1 0.5000 0.5000 0.0000 [1 per cell]
Pb1 0.0000 0.5000 0.5000 [2 per cell]

Results
Energy above the lowest structure with this stoichiometry   0.069 eV per atom
Energy of formation from the pure elements   -0.06 eV/atom
Size of the total moment   0.3836 μB/atom

=====

Material: Pm4RuPtBr2
Method: DFT, PBE-GGA
State: optimized geometry

Unit cell a=7.1527 b=4.1311 c=8.1235 alpha=90.00 beta=106.96 gamma=90.00
Space group P2/m (No. 10)
Asymmetric unit:
Pm1 0.2229 0.0000 0.1979 [2 per cell]
Pm2 0.2577 0.5000 0.8052 [2 per cell]
Ru1 0.0000 0.5000 0.0000 [1 per cell]
Pt1 0.5000 0.0000 0.0000 [1 per cell]
Br1 0.0000 0.0000 0.5000 [1 per cell]
Br2 0.5000 0.5000 0.5000 [1 per cell]

Results
Formation energy from raw total energies   -24.22 kcal/mol of atoms
Size of the total moment   0.0000 μB/atom

=====

Material: Cd2CuOs
Method: DFT, PBE-GGA
State: optimized geometry

Unit cell a=10.4855 b=2.8273 c=4.9669 alpha=90.00 beta=112.89 gamma=90.00
Space group Cm (No. 8)
Asymmetric unit:
Cd1 0.0000 0.0000 0.0000 [2 per cell]
Cd2 0.2205 0.0000 0.6089 [2 per cell]
Cu1 0.4633 0.0000 0.4798 [2 per cell]
Os1 0.2565 0.5000 0.1296 [2 per cell]

Results
Energy above the lowest structure with this stoichiometry   0.027 eV per atom
Energy of formation from the pure elements   0.42 eV/atom
Size of the total moment   0.0001 μB/atom

=====

Sequential raw total energy output: -9.217, -4.986, -5.518, -3.513, -5.312, -5.758, -3.867 eV per atom